# 1
First-principles (GGA-PBE) data for crystalline Er5Sn2Sb2 at its relaxed geometry, as listed in the Alexandria database.

Cell lengths 15.2780, 8.0652, 8.0961 Å; angles 90.00, 90.00, 90.00 degrees
With the nearest neighbours (Å) after each atom.
Space group Cmce (No. 64)
Symmetry-distinct sites (fractional):
Er1 0.0000 0.0000 0.0000 [4 per cell]  2 Sb 3.10, 4 Sn 3.13-3.14
Er2 0.1349 0.1653 0.3369 [16 per cell]  3 Sn 3.07-3.20, 3 Sb 3.11-3.21
Sn1 0.0000 0.1372 0.6370 [8 per cell]  8 Er 3.07-3.20, 1 Sn 3.13
Sb1 0.2027 0.0000 0.0000 [8 per cell]  7 Er 3.10-3.21

Values from the calculation:
Formation energy (no corrections) (meV/atom): -879
Calculated total energy (eV per atom): -5.219

=====

# 2
First-principles (GGA-PBE) data for crystalline Y2ZnH at its relaxed geometry, as listed in the Alexandria database.

Cell lengths 3.6784, 3.6784, 20.9555 Å; angles 90.00, 90.00, 120.00 degrees
With the nearest neighbours (Å) after each atom.
Space group R-3m (No. 166, hexagonal axes)
Symmetry-distinct sites (fractional):
Y1 0.0000 0.0000 0.2327 [6 per cell]  3 H 2.53
Zn1 0.0000 0.0000 0.0000 [3 per cell]  6 Y 2.99
H1 0.0000 0.0000 0.5000 [3 per cell]  6 Y 2.53

Values from the calculation:
Relative energy among the computed polymorphs (meV/atom): 17
Calculated total energy (eV per atom): -4.649

=====

# 3
First-principles (GGA-PBE) data for crystalline AcLaPO at its relaxed geometry, as listed in the Alexandria database.

Cell lengths 4.5126, 4.5126, 9.7917 Å; angles 90.00, 90.00, 90.00 degrees
With the nearest neighbours (Å) after each atom.
Space group P4/nmm (No. 129, origin choice 2)
Symmetry-distinct sites (fractional):
Ac1 0.2500 0.2500 0.1159 [2 per cell]  4 O 2.53
La1 0.2500 0.7500 0.5000 [2 per cell]  4 P 2.95, 4 La 3.19
P1 0.2500 0.2500 0.6942 [2 per cell]  4 La 2.95
O1 0.2500 0.7500 0.0000 [2 per cell]  4 Ac 2.53

Values from the calculation:
Formation energy (no corrections) (meV/atom): -1940
Calculated total energy (eV per atom): -6.791

=====

# 4
First-principles (GGA-PBE) data for crystalline AlHS2Cl at its relaxed geometry, as listed in the Alexandria database.

Cell lengths 3.7405, 3.7405, 5.7574 Å; angles 90.00, 90.00, 90.00 degrees
With the nearest neighbours (Å) after each atom.
Space group P4/mmm (No. 123)
Symmetry-distinct sites (fractional):
Al1 0.0000 0.0000 0.0000 [1 per cell]  4 Cl 2.64
H1 0.5000 0.5000 0.5000 [1 per cell]  4 S 1.87
S1 0.0000 0.5000 0.5000 [2 per cell]  2 H 1.87
Cl1 0.5000 0.5000 0.0000 [1 per cell]  4 Al 2.64, 2 H 2.88

Values from the calculation:
Relative energy among the computed polymorphs (meV/atom): 29
Calculated total energy (eV per atom): -3.104

=====

# 5
First-principles (GGA-PBE) data for crystalline HoPuCd4 at its relaxed geometry, as listed in the Alexandria database.

Cell lengths 8.3782, 8.3782, 8.3782 Å; angles 90.00, 90.00, 90.00 degrees
With the nearest neighbours (Å) after each atom.
Space group F-43m (No. 216)
Symmetry-distinct sites (fractional):
Ho1 0.0000 0.0000 0.0000 [4 per cell]  12 Cd 3.47, 4 Pu 3.63
Pu1 0.2500 0.2500 0.2500 [4 per cell]  12 Cd 3.47, 4 Ho 3.63
Cd1 0.1251 0.1251 0.6251 [16 per cell]  6 Cd 2.96

Values from the calculation:
Relative energy among the computed polymorphs (meV/atom): 49
E_form (meV/atom): -120
Calculated total energy (eV per atom): -3.882

=====

# 6
First-principles (GGA-PBE) data for crystalline TbBC at its relaxed geometry, as listed in the Alexandria database.

Cell lengths 10.0574, 3.0194, 4.8013 Å; angles 90.00, 106.39, 90.00 degrees
With the nearest neighbours (Å) after each atom.
Space group C2/m (No. 12)
Symmetry-distinct sites (fractional):
Tb1 0.1086 0.0000 0.2956 [4 per cell]  4 B 2.58-2.63, 5 C 2.75-2.85
B1 0.2150 0.0000 0.8547 [4 per cell]  3 C 1.67-1.74
C1 0.1420 0.5000 0.8412 [4 per cell]  3 B 1.67-1.74

Values from the calculation:
Relative energy among the computed polymorphs (meV/atom): 424
E_form (meV/atom): -10
Calculated total energy (eV per atom): -6.854

=====

# 7
First-principles (GGA-PBE) data for crystalline Dy2ZrSc6 at its relaxed geometry, as listed in the Alexandria database.

Cell lengths 3.3407, 3.3407, 24.1894 Å; angles 90.00, 90.00, 120.00 degrees
With the nearest neighbours (Å) after each atom.
Space group P-6m2 (No. 187)
Symmetry-distinct sites (fractional):
Dy1 0.0000 0.0000 0.1746 [2 per cell]  6 Sc 3.33-3.38, 6 Dy 3.34
Zr1 0.6667 0.3333 0.5000 [1 per cell]  6 Sc 3.17, 6 Zr 3.34
Sc1 0.0000 0.0000 0.3962 [2 per cell]  3 Zr 3.17, 9 Sc 3.23-3.34
Sc2 0.6667 0.3333 0.0621 [2 per cell]  7 Sc 3.01-3.34, 3 Dy 3.33
Sc3 0.6667 0.3333 0.2892 [2 per cell]  9 Sc 3.23-3.34, 3 Dy 3.38

Values from the calculation:
Relative energy among the computed polymorphs (meV/atom): 17
E_form (meV/atom): 73
Calculated total energy (eV per atom): -6.121

=====

# 8
First-principles (GGA-PBE) data for crystalline RbTcMoCl2 at its relaxed geometry, as listed in the Alexandria database.

Cell lengths 5.2699, 5.2699, 4.8219 Å; angles 90.00, 90.00, 90.00 degrees
With the nearest neighbours (Å) after each atom.
Space group P4/mmm (No. 123)
Symmetry-distinct sites (fractional):
Rb1 0.0000 0.0000 0.0000 [1 per cell]  8 Cl 3.57, 4 Mo 3.73
Tc1 0.5000 0.5000 0.5000 [1 per cell]  2 Mo 2.41, 4 Cl 2.63
Mo1 0.5000 0.5000 0.0000 [1 per cell]  2 Tc 2.41
Cl1 0.0000 0.5000 0.5000 [2 per cell]  2 Tc 2.63

Values from the calculation:
Formation energy (no corrections) (meV/atom): 326
Calculated total energy (eV per atom): -4.846

=====

# 9
First-principles (GGA-PBE) data for crystalline Th2Cu3Ge4Au at its relaxed geometry, as listed in the Alexandria database.

Cell lengths 4.2772, 4.2772, 10.1884 Å; angles 90.00, 90.00, 90.00 degrees
With the nearest neighbours (Å) after each atom.
Space group P-4m2 (No. 115)
Symmetry-distinct sites (fractional):
Th1 0.0000 0.5000 0.2469 [2 per cell]  8 Ge 3.23-3.30, 6 Cu 3.27-3.35, 2 Au 3.35
Cu1 0.0000 0.5000 0.8758 [2 per cell]  5 Ge 2.37-2.48
Cu2 0.5000 0.5000 0.5000 [1 per cell]  4 Ge 2.59
Ge1 0.0000 0.0000 0.0000 [1 per cell]  4 Cu 2.48
Ge2 0.0000 0.5000 0.6431 [2 per cell]  3 Cu 2.37-2.59, 2 Au 2.59
Ge3 0.5000 0.5000 0.0000 [1 per cell]  4 Cu 2.48
Au1 0.0000 0.0000 0.5000 [1 per cell]  4 Ge 2.59

Values from the calculation:
E_form (meV/atom): -489
Calculated total energy (eV per atom): -5.377

=====

# 10
First-principles (GGA-PBE) data for crystalline Ba2ThScAs4 at its relaxed geometry, as listed in the Alexandria database.

Cell lengths 7.4073, 4.3822, 7.8768 Å; angles 90.00, 108.76, 90.00 degrees
With the nearest neighbours (Å) after each atom.
Space group P2/m (No. 10)
Symmetry-distinct sites (fractional):
Ba1 0.0000 0.0000 0.0000 [1 per cell]  6 As 3.37-3.39
Ba2 0.5000 0.5000 0.0000 [1 per cell]  6 As 3.28-3.29
Th1 0.0000 0.5000 0.5000 [1 per cell]  6 As 2.97-2.99
Sc1 0.5000 0.0000 0.5000 [1 per cell]  6 As 2.86-2.89
As1 0.2474 0.0000 0.7079 [2 per cell]  1 Sc 2.86, 2 Th 2.99
As2 0.2783 0.5000 0.2993 [2 per cell]  2 Sc 2.89, 1 Th 2.97

Values from the calculation:
E_form (meV/atom): -1147
Calculated total energy (eV per atom): -5.672

=====

# 11
First-principles (GGA-PBE) data for crystalline LaLuTh2 at its relaxed geometry, as listed in the Alexandria database.

Cell lengths 5.0390, 5.0390, 5.1182 Å; angles 90.00, 90.00, 90.00 degrees
With the nearest neighbours (Å) after each atom.
Space group P4/mmm (No. 123)
Symmetry-distinct sites (fractional):
La1 0.0000 0.0000 0.0000 [1 per cell]  4 Lu 3.56, 8 Th 3.59
Lu1 0.5000 0.5000 0.0000 [1 per cell]  4 La 3.56, 8 Th 3.59
Th1 0.0000 0.5000 0.5000 [2 per cell]  4 Th 3.56, 4 La 3.59, 4 Lu 3.59

Values from the calculation:
Relative energy among the computed polymorphs (meV/atom): 2
E_form (meV/atom): 65
Calculated total energy (eV per atom): -6.007

=====

# 12
First-principles (GGA-PBE) data for crystalline TbPmSm3 at its relaxed geometry, as listed in the Alexandria database.

Cell lengths 8.0520, 13.9175, 6.2619 Å; angles 90.00, 90.00, 90.00 degrees
With the nearest neighbours (Å) after each atom.
Space group Cmcm (No. 63)
Symmetry-distinct sites (fractional):
Tb1 0.0000 0.1658 0.2500 [4 per cell]  8 Sm 3.64-4.07, 4 Pm 3.64-4.06
Pm1 0.0000 0.2993 0.7500 [4 per cell]  4 Sm 3.20-3.21
Sm1 0.0000 0.5000 0.0000 [4 per cell]  6 Sm 3.13-3.20, 2 Pm 3.20
Sm2 0.1990 0.0996 0.7500 [8 per cell]  3 Sm 3.20, 1 Pm 3.21

Values from the calculation:
Relative energy among the computed polymorphs (meV/atom): 301
E_form (meV/atom): 327
Calculated total energy (eV per atom): -4.381